# 1
Here is MnSN after structural relaxation from the Alexandria database. Energies are from PBE.

abc: 2.940 3.155 5.618
angles: 90.00 90.00 90.00
Space group Pmm2 (No. 25)
Inequivalent atoms, fractional coordinates:
Mn (0.000, 0.000, 0.000) x1
S (0.000, 0.500, 0.262) x1
N (0.500, 0.000, 0.844) x1

Output
Calculated total energy (eV/cell): -21.4
Calculated density (Mg/m³): 3.2
Uncorrected formation energy (eV/atom): 0.078

***

# 2
Here is MnSN after structural relaxation from the Alexandria database. Energies are from PBE.

abc: 2.593 2.593 6.198
angles: 90.00 90.00 90.00
Space group P4mm (No. 99)
Inequivalent atoms, fractional coordinates:
Mn (0.000, 0.000, 0.000) x1
S (0.000, 0.000, 0.351) x1
N (0.500, 0.500, 0.918) x1

Output
Calculated total energy (eV/cell): -21.4
Calculated density (Mg/m³): 4.0
Uncorrected formation energy (eV/atom): 0.084

***

# 3
Here is MnSN after structural relaxation from the Alexandria database. Energies are from PBE.

abc: 6.411 3.017 4.247
angles: 90.00 120.82 90.00
Space group Cm (No. 8)
Inequivalent atoms, fractional coordinates:
Mn (0.000, 0.000, 0.000) x2
S (0.355, 0.000, 0.544) x2
N (0.357, 0.000, 0.149) x2

Output
Calculated total energy (eV/cell): -42.5
Calculated density (Mg/m³): 4.8
Uncorrected formation energy (eV/atom): 0.121

***

# 4
Here is MnSbSN2 after structural relaxation from the Alexandria database. Energies are from PBE.

abc: 3.944 3.944 5.432
angles: 90.00 90.00 90.00
Space group P4/mmm (No. 123)
Inequivalent atoms, fractional coordinates:
Mn (0.000, 0.000, 0.000) x1
Sb (0.500, 0.500, 0.500) x1
S (0.500, 0.500, 0.000) x1
N (0.000, 0.500, 0.500) x2

Output
Calculated total energy (eV/cell): -28.6
Calculated density (Mg/m³): 4.7
Uncorrected formation energy (eV/atom): 1.096

***

Which of these has the highest uncorrected formation energy? MnSbSN2